The following is a DFT calculation (PBE-GGA) of a relaxed TaCuIr2 crystal.

As for the relative energy among the computed polymorphs: 117.8 meV/atom. The density of states at the Fermi level comes out at 5.9 states/eV/cell. The electronic total energy comes out at -8.74 eV/atom. The calculation puts the theoretical density at 17.695 Mg/m³. As for the magnetic moment: 0.00 μB/cell.

It has space group I-4m2 (No. 119), with a = 3.8125 Å, b = 3.8125 Å, c = 8.1210 Å, α = 90.00°, β = 90.00° and γ = 90.00°. Symmetry generates all atoms from Ta at (0.0000, 0.0000, 0.0000), Cu at (0.0000, 0.5000, 0.2500), Ir at (0.0000, 0.0000, 0.5000) and Ir at (0.0000, 0.5000, 0.7500).

***

The following is a DFT calculation (PBE-GGA) of a relaxed TaCu3Ir crystal.

As for the relative energy among the computed polymorphs: 0.0 meV/atom. The density of states at the Fermi level comes out at 5.3 states/eV/cell. The electronic total energy comes out at -5.13 eV/atom. The calculation puts the theoretical density at 10.209 Mg/m³. As for the magnetic moment: 0.00 μB/cell.

It has space group Pm-3m (No. 221), with a = 4.5095 Å, b = 4.5095 Å, c = 4.5095 Å, α = 90.00°, β = 90.00° and γ = 90.00°. Symmetry generates all atoms from Ta at (0.0000, 0.0000, 0.0000), Cu at (0.0000, 0.5000, 0.5000) and Ir at (0.5000, 0.5000, 0.5000).

***

The following is a DFT calculation (PBE-GGA) of a relaxed TaCuIr2 crystal.

As for the relative energy among the computed polymorphs: 263.3 meV/atom. The density of states at the Fermi level comes out at 6.9 states/eV/cell. The electronic total energy comes out at -8.60 eV/atom. The calculation puts the theoretical density at 17.407 Mg/m³. As for the magnetic moment: 0.00 μB/cell.

It has space group Cm (No. 8), with a = 9.2358 Å, b = 2.8075 Å, c = 4.7058 Å, α = 90.00°, β = 100.46° and γ = 90.00°. Symmetry generates all atoms from Ta at (0.0000, 0.0000, 0.0000), Cu at (0.2605, 0.5000, 0.2763), Ir at (0.0106, 0.5000, 0.4949) and Ir at (0.2441, 0.0000, 0.7717).

***

The following is a DFT calculation (PBE-GGA) of a relaxed TaCuIr2 crystal.

As for the relative energy among the computed polymorphs: 38.6 meV/atom. The density of states at the Fermi level comes out at 1.7 states/eV/cell. The electronic total energy comes out at -8.82 eV/atom. The calculation puts the theoretical density at 17.570 Mg/m³. As for the magnetic moment: 0.00 μB/cell.

It has space group Pmmm (No. 47), with a = 3.0040 Å, b = 3.4869 Å, c = 5.6745 Å, α = 90.00°, β = 90.00° and γ = 90.00°. Symmetry generates all atoms from Ta at (0.0000, 0.0000, 0.0000), Cu at (0.0000, 0.0000, 0.5000) and Ir at (0.5000, 0.5000, 0.2595).